The following is a PBE calculation of a relaxed TbNd2Cd3InGa2 crystal, from OQMD.

Lattice parameters (Å, degrees): 4.578 7.440 7.440 119.72 90.00 90.00
Fractional positions:
1 Tb 0.000 0.000 0.000
2 Nd 0.000 0.128 0.563
3 Nd 0.000 0.563 0.128
4 Cd 0.500 0.310 0.310
5 Cd 0.500 0.564 0.818
6 Cd 0.500 0.818 0.564
7 In 0.000 0.569 0.569
8 Ga 0.500 0.228 0.899
9 Ga 0.500 0.899 0.228

---

The following is a PBE calculation of a relaxed LiLa2Sn4Pd crystal, from OQMD.

Lattice parameters (Å, degrees): 4.592 10.031 10.031 26.14 90.00 90.00
Fractional positions:
1 Li 0.000 0.000 0.000
2 La 0.000 0.779 0.779
3 La 0.500 0.566 0.566
4 Sn 0.000 0.130 0.130
5 Sn 0.000 0.424 0.424
6 Sn 0.500 0.216 0.216
7 Sn 0.500 0.925 0.925
8 Pd 0.500 0.349 0.349

---

The following is a PBE calculation of a relaxed Dy2YMgIr4 crystal, from OQMD.

Lattice parameters (Å, degrees): 4.743 4.743 6.703 90.00 90.00 90.00
Fractional positions:
1 Dy 0.000 0.000 0.000
2 Dy 0.500 0.500 0.500
3 Y 0.000 0.000 0.500
4 Mg 0.500 0.500 0.000
5 Ir 0.000 0.500 0.243
6 Ir 0.000 0.500 0.757
7 Ir 0.500 0.000 0.243
8 Ir 0.500 0.000 0.757

---

The following is a PBE calculation of a relaxed DyYNi2B2C2 crystal, from OQMD.

Lattice parameters (Å, degrees): 3.591 3.591 7.566 90.00 90.00 90.00
Fractional positions:
1 Dy 0.000 0.000 0.000
2 Y 0.500 0.500 0.332
3 Ni 0.000 0.500 0.666
4 Ni 0.500 0.000 0.666
5 B 0.000 0.000 0.519
6 B 0.500 0.500 0.813
7 C 0.000 0.000 0.321
8 C 0.500 0.500 0.010

---

The following is a PBE calculation of a relaxed W2N3 crystal, from OQMD.

Lattice parameters (Å, degrees): 4.988 4.988 5.350 99.12 99.12 119.68
Fractional positions:
1 W 0.000 0.000 0.000
2 W 0.186 0.186 0.539
3 W 0.502 0.839 0.514
4 W 0.839 0.502 0.514
5 N 0.088 0.771 0.271
6 N 0.256 0.920 0.777
7 N 0.412 0.412 0.269
8 N 0.600 0.600 0.774
9 N 0.771 0.088 0.271
10 N 0.920 0.256 0.777

---

The following is a PBE calculation of a relaxed Zr2Si3Ag2 crystal, from OQMD.

Lattice parameters (Å, degrees): 8.475 8.475 8.475 29.56 29.56 29.56
Fractional positions:
1 Zr 0.000 0.000 0.000
2 Zr 0.497 0.497 0.497
3 Si 0.389 0.389 0.389
4 Si 0.619 0.619 0.619
5 Si 0.864 0.864 0.864
6 Ag 0.247 0.247 0.247
7 Ag 0.749 0.749 0.749

---

The following is a PBE calculation of a relaxed HoGe2 crystal, from OQMD.

Lattice parameters (Å, degrees): 5.615 5.615 5.615 60.00 60.00 60.00
Fractional positions:
1 Ho 0.125 0.125 0.125
2 Ho 0.875 0.875 0.875
3 Ge 0.000 0.500 0.500
4 Ge 0.500 0.000 0.500
5 Ge 0.500 0.500 0.000
6 Ge 0.500 0.500 0.500

---

The following is a PBE calculation of a relaxed Ta2Co3W4C3 crystal, from OQMD.

Lattice parameters (Å, degrees): 5.187 5.187 13.246 101.47 101.47 59.77
Fractional positions:
1 Ta 0.042 0.880 0.627
2 Ta 0.120 0.958 0.873
3 Ta 0.880 0.042 0.127
4 Ta 0.958 0.120 0.373
5 Co 0.089 0.389 0.751
6 Co 0.389 0.089 0.251
7 Co 0.431 0.569 0.250
8 Co 0.569 0.431 0.750
9 Co 0.611 0.911 0.749
10 Co 0.911 0.611 0.249
11 W 0.196 0.357 0.089
12 W 0.298 0.478 0.411
13 W 0.357 0.196 0.589
14 W 0.478 0.298 0.911
15 W 0.522 0.702 0.089
16 W 0.643 0.804 0.411
17 W 0.702 0.522 0.589
18 W 0.804 0.643 0.911
19 C 0.000 0.500 0.500
20 C 0.155 0.689 0.000
21 C 0.311 0.845 0.500
22 C 0.500 0.000 0.000
23 C 0.689 0.155 0.500
24 C 0.845 0.311 0.000

---

| no. | E_tot (eV/atom) |
| --- | --- |
| 1 | -3.353 |
| 2 | -4.828 |
| 3 | -7.251 |
| 4 | -7.272 |
| 5 | -10.613 |
| 6 | -5.659 |
| 7 | -4.904 |
| 8 | -10.418 |